First-principles (meta-GGA SCAN) data for a crystal of KBa2La relaxed with PBEsol, as listed in Alexandria via LeMat-Bulk.

Crystal system ... orthorhombic
Space-group type ... Cmmm, No. 65
Energy above the most stable polymorph in this dataset ... 0.0000 eV per atom
Calculated formation energy ... 162 meV per atom

a b c (Å): 4.0018 4.0018 13.7459
angles (deg): 90.00 90.00 110.04
Fractional positions:
La1 0.5000 0.5000 0.0000
K1 0.5000 0.5000 0.5000
Ba1 0.0000 0.0000 0.7741
Ba2 0.0000 0.0000 0.2259

***

First-principles (meta-GGA SCAN) data for a crystal of TlAg3 relaxed with PBEsol, as listed in Alexandria via LeMat-Bulk.

Crystal system ... orthorhombic
Space-group type ... Pmmm, No. 47
Calculated formation energy ... 105 meV per atom

a b c (Å): 3.4592 3.4478 6.2708
angles (deg): 90.00 90.00 90.00
Fractional positions:
Ag1 0.5000 0.5000 0.0000
Ag2 0.0000 0.0000 0.7730
Ag3 0.0000 0.0000 0.2270
Tl1 0.5000 0.5000 0.5000

***

First-principles (meta-GGA SCAN) data for a crystal of ZnNi3 relaxed with PBEsol, as listed in Alexandria via LeMat-Bulk.

Crystal system ... orthorhombic
Space-group type ... Immm, No. 71
Calculated formation energy ... -15 meV per atom

a b c (Å): 2.6380 4.0707 4.7318
angles (deg): 115.48 106.19 90.00
Fractional positions:
Zn1 0.0000 0.5000 0.0000
Ni1 0.7521 0.7521 0.5042
Ni2 0.2479 0.2479 0.4958
Ni3 0.5000 0.0000 0.0000

***

First-principles (meta-GGA SCAN) data for a crystal of BeTe2PtN relaxed with PBEsol, as listed in Alexandria via LeMat-Bulk.

Crystal system ... tetragonal
Space-group type ... P4/mmm, No. 123
E_tot ... -154.57 eV for the cell shown

a b c (Å): 3.5989 5.4996 5.4996
angles (deg): 90.00 90.00 90.00
Fractional positions:
Pt1 0.0000 0.0000 0.0000
Te1 0.0000 0.0000 0.5000
Te2 0.0000 0.5000 0.0000
Be1 0.5000 0.5000 0.5000
N1 0.5000 0.0000 0.0000

***

First-principles (meta-GGA SCAN) data for a crystal of Mo2OsPt relaxed with PBEsol, as listed in Alexandria via LeMat-Bulk.

Crystal system ... tetragonal
Space-group type ... I4/mmm, No. 139
Energy above the most stable polymorph in this dataset ... 0.0000 eV per atom
Calculated formation energy ... -246 meV per atom

a b c (Å): 3.8904 3.8904 4.7552
angles (deg): 114.15 114.15 90.00
Fractional positions:
Mo1 0.2500 0.7500 0.5000
Mo2 0.7500 0.2500 0.5000
Os1 0.5000 0.5000 0.0000
Pt1 0.0000 0.0000 0.0000

***

First-principles (meta-GGA SCAN) data for a crystal of CoPdRh2C relaxed with PBEsol, as listed in Alexandria via LeMat-Bulk.

Crystal system ... tetragonal
Space-group type ... P4/mmm, No. 123
Calculated formation energy ... 1274 meV per atom

a b c (Å): 3.3879 4.5563 4.5563
angles (deg): 90.00 90.00 90.00
Fractional positions:
Pd1 0.5000 0.5000 0.5000
C1 0.5000 0.0000 0.0000
Co1 0.0000 0.0000 0.0000
Rh1 0.0000 0.0000 0.5000
Rh2 0.0000 0.5000 0.0000

***

First-principles (meta-GGA SCAN) data for a crystal of BaSr2LaAg relaxed with PBEsol, as listed in Alexandria via LeMat-Bulk.

Crystal system ... tetragonal
Space-group type ... P4/mmm, No. 123
Calculated formation energy ... 420 meV per atom

a b c (Å): 5.4670 6.4328 6.4328
angles (deg): 90.00 90.00 90.00
Fractional positions:
La1 0.0000 0.0000 0.0000
Sr1 0.0000 0.5000 0.0000
Sr2 0.0000 0.0000 0.5000
Ba1 0.5000 0.5000 0.5000
Ag1 0.5000 0.0000 0.0000

***

First-principles (meta-GGA SCAN) data for a crystal of TlHgO2 relaxed with PBEsol, as listed in Alexandria via LeMat-Bulk.

Crystal system ... trigonal
Space-group type ... R-3m, No. 166
Energy above the most stable polymorph in this dataset ... 0.0000 eV per atom

a b c (Å): 3.4850 3.4850 6.9317
angles (deg): 75.44 75.44 60.00
Fractional positions:
O1 0.1081 0.1081 0.6758
O2 0.8919 0.8919 0.3242
Hg1 0.0000 0.0000 0.0000
Tl1 0.5000 0.5000 0.5000

***

Total magnetic moment across the listed records, respectively: 0.022; 0.000; 0.357; 0.000; 0.000; 0.736; 0.000; 0.000 μB/atom.